Version 1
# Sc2CoOs

A geometry-optimized Sc2CoOs structure (PBE, Alexandria via LeMat-Bulk).

Cell and atoms, written as CIF:
```
data_Sc2CoOs
_symmetry_space_group_name_H-M 'R -3 m'
_symmetry_Int_Tables_number 166
_symmetry_space_group_name_Hall '-R 3 2"'
_cell_length_a 3.0571
_cell_length_b 3.0571
_cell_length_c 24.4496
_cell_angle_alpha 90.00
_cell_angle_beta 90.00
_cell_angle_gamma 120.00
loop_
_atom_site_label
_atom_site_type_symbol
_atom_site_fract_x
_atom_site_fract_y
_atom_site_fract_z
Sc1 Sc 0.0000 0.0000 0.2469
Co1 Co 0.0000 0.0000 0.5000
Os1 Os 0.0000 0.0000 0.0000
```

Version 2
# Sc2CoOs

A geometry-optimized Sc2CoOs structure (PBE, Alexandria via LeMat-Bulk).

Cell and atoms, written as CIF:
```
data_Sc2CoOs
_symmetry_space_group_name_H-M 'I m m 2'
_symmetry_Int_Tables_number 44
_cell_length_a 3.176
_cell_length_b 4.413
_cell_length_c 9.420
_cell_angle_alpha 90.00
_cell_angle_beta 90.00
_cell_angle_gamma 90.00
loop_
_symmetry_equiv_pos_as_xyz
'x,y,z'
'-x,-y,z'
'-x,y,z'
'x,-y,z'
'x+1/2,y+1/2,z+1/2'
'-x+1/2,-y+1/2,z+1/2'
'-x+1/2,y+1/2,z+1/2'
'x+1/2,-y+1/2,z+1/2'
loop_
_atom_site_label
_atom_site_type_symbol
_atom_site_fract_x
_atom_site_fract_y
_atom_site_fract_z
Sc1 Sc 0.000 0.000 0.000
Sc2 Sc 0.000 0.500 0.220
Co1 Co 0.000 0.500 0.751
Os1 Os 0.000 0.000 0.468
```

version 2 is favored, and the nearest alternative lies 255 meV per atom above it.

Version 1
# ScCoOs

A geometry-optimized ScCoOs structure (PBE, Alexandria via LeMat-Bulk).

Cell and atoms, written as CIF:
```
data_ScCoOs
_symmetry_space_group_name_H-M 'I m m 2'
_symmetry_Int_Tables_number 44
_cell_length_a 2.762
_cell_length_b 3.577
_cell_length_c 9.397
_cell_angle_alpha 90.00
_cell_angle_beta 90.00
_cell_angle_gamma 90.00
loop_
_symmetry_equiv_pos_as_xyz
'x,y,z'
'-x,-y,z'
'-x,y,z'
'x,-y,z'
'x+1/2,y+1/2,z+1/2'
'-x+1/2,-y+1/2,z+1/2'
'-x+1/2,y+1/2,z+1/2'
'x+1/2,-y+1/2,z+1/2'
loop_
_atom_site_label
_atom_site_type_symbol
_atom_site_fract_x
_atom_site_fract_y
_atom_site_fract_z
Sc1 Sc 0.000 0.000 0.000
Co1 Co 0.000 0.000 0.700
Os1 Os 0.000 0.000 0.302
```

Version 2
# ScCoOs

A geometry-optimized ScCoOs structure (PBE, Alexandria via LeMat-Bulk).

Cell and atoms, written as CIF:
```
data_ScCoOs
_symmetry_space_group_name_H-M 'P 3 m 1'
_symmetry_Int_Tables_number 156
_cell_length_a 2.8422
_cell_length_b 2.8422
_cell_length_c 6.4415
_cell_angle_alpha 90.00
_cell_angle_beta 90.00
_cell_angle_gamma 120.00
loop_
_symmetry_equiv_pos_as_xyz
'x,y,z'
'-y,x-y,z'
'-x+y,-x,z'
'-y,-x,z'
'-x+y,y,z'
'x,x-y,z'
loop_
_atom_site_label
_atom_site_type_symbol
_atom_site_fract_x
_atom_site_fract_y
_atom_site_fract_z
Sc1 Sc 0.0000 0.0000 0.0000
Co1 Co 0.3333 0.6667 0.3312
Os1 Os 0.6667 0.3333 0.6366
```

version 1 is favored, and the nearest alternative lies 224 meV per atom above it.

Version 1
# ScCoOs

A geometry-optimized ScCoOs structure (PBE, Alexandria via LeMat-Bulk).

Cell and atoms, written as CIF:
```
data_ScCoOs
_symmetry_space_group_name_H-M 'I m m a'
_symmetry_Int_Tables_number 74
_symmetry_space_group_name_Hall '-I 2b 2'
_cell_length_a 5.005
_cell_length_b 5.030
_cell_length_c 7.226
_cell_angle_alpha 90.00
_cell_angle_beta 90.00
_cell_angle_gamma 90.00
loop_
_atom_site_label
_atom_site_type_symbol
_atom_site_fract_x
_atom_site_fract_y
_atom_site_fract_z
Sc1 Sc 0.000 0.250 0.126
Co1 Co 0.250 0.250 0.750
Os1 Os 0.000 0.000 0.500
```

Version 2
# ScCoOs

A geometry-optimized ScCoOs structure (PBE, Alexandria via LeMat-Bulk).

Cell and atoms, written as CIF:
```
data_ScCoOs
_symmetry_space_group_name_H-M 'C m c m'
_symmetry_Int_Tables_number 63
_symmetry_space_group_name_Hall '-C 2c 2'
_cell_length_a 3.214
_cell_length_b 12.961
_cell_length_c 4.315
_cell_angle_alpha 90.00
_cell_angle_beta 90.00
_cell_angle_gamma 90.00
loop_
_atom_site_label
_atom_site_type_symbol
_atom_site_fract_x
_atom_site_fract_y
_atom_site_fract_z
Sc1 Sc 0.000 0.088 0.250
Co1 Co 0.000 0.244 0.750
Os1 Os 0.000 0.406 0.250
```

version 1 is favored, and the nearest alternative lies 314 meV per atom above it.

Version 1
# ScCoOs

A geometry-optimized ScCoOs structure (PBE, Alexandria via LeMat-Bulk).

Cell and atoms, written as CIF:
```
data_ScCoOs
_symmetry_space_group_name_H-M 'I 4 m m'
_symmetry_Int_Tables_number 107
_symmetry_space_group_name_Hall 'I 4 -2'
_cell_length_a 2.777
_cell_length_b 2.777
_cell_length_c 11.562
_cell_angle_alpha 90.00
_cell_angle_beta 90.00
_cell_angle_gamma 90.00
loop_
_atom_site_label
_atom_site_type_symbol
_atom_site_fract_x
_atom_site_fract_y
_atom_site_fract_z
Sc1 Sc 0.000 0.000 0.000
Co1 Co 0.000 0.000 0.322
Os1 Os 0.000 0.000 0.689
```

Version 2
# ScCoOs

A geometry-optimized ScCoOs structure (PBE, Alexandria via LeMat-Bulk).

Cell and atoms, written as CIF:
```
data_ScCoOs
_symmetry_space_group_name_H-M 'P -6 m 2'
_symmetry_Int_Tables_number 187
_symmetry_space_group_name_Hall 'P -6 2'
_cell_length_a 4.2321
_cell_length_b 4.2321
_cell_length_c 2.9509
_cell_angle_alpha 90.00
_cell_angle_beta 90.00
_cell_angle_gamma 120.00
loop_
_atom_site_label
_atom_site_type_symbol
_atom_site_fract_x
_atom_site_fract_y
_atom_site_fract_z
Sc1 Sc 0.0000 0.0000 0.0000
Co1 Co 0.6667 0.3333 0.5000
Os1 Os 0.3333 0.6667 0.5000
```

Version 3
# ScCoOs

A geometry-optimized ScCoOs structure (PBE, Alexandria via LeMat-Bulk).

Cell and atoms, written as CIF:
```
data_ScCoOs
_symmetry_space_group_name_H-M 'F -4 3 m'
_symmetry_Int_Tables_number 216
_symmetry_space_group_name_Hall 'F -4 2 3'
_cell_length_a 5.864
_cell_length_b 5.864
_cell_length_c 5.864
_cell_angle_alpha 90.00
_cell_angle_beta 90.00
_cell_angle_gamma 90.00
loop_
_atom_site_label
_atom_site_type_symbol
_atom_site_fract_x
_atom_site_fract_y
_atom_site_fract_z
Sc1 Sc 0.000 0.000 0.000
Co1 Co 0.250 0.250 0.250
Os1 Os 0.000 0.000 0.500
```

version 1 is favored, and the nearest alternative lies 35 meV per atom above it.

Version 1
# ScCo2Os2

A geometry-optimized ScCo2Os2 structure (PBE, Alexandria via LeMat-Bulk).

Cell and atoms, written as CIF:
```
data_ScCo2Os2
_symmetry_space_group_name_H-M 'P 4/m b m'
_symmetry_Int_Tables_number 127
_symmetry_space_group_name_Hall '-P 4 2ab'
_cell_length_a 7.297
_cell_length_b 7.297
_cell_length_c 2.662
_cell_angle_alpha 90.00
_cell_angle_beta 90.00
_cell_angle_gamma 90.00
loop_
_atom_site_label
_atom_site_type_symbol
_atom_site_fract_x
_atom_site_fract_y
_atom_site_fract_z
Sc1 Sc 0.000 0.000 0.000
Co1 Co 0.173 0.327 0.500
Os1 Os 0.125 0.625 0.000
```

Version 2
# ScCo2Os2

A geometry-optimized ScCo2Os2 structure (PBE, Alexandria via LeMat-Bulk).

Cell and atoms, written as CIF:
```
data_ScCo2Os2
_symmetry_space_group_name_H-M 'P 4/m b m'
_symmetry_Int_Tables_number 127
_symmetry_space_group_name_Hall '-P 4 2ab'
_cell_length_a 7.291
_cell_length_b 7.291
_cell_length_c 2.624
_cell_angle_alpha 90.00
_cell_angle_beta 90.00
_cell_angle_gamma 90.00
loop_
_atom_site_label
_atom_site_type_symbol
_atom_site_fract_x
_atom_site_fract_y
_atom_site_fract_z
Sc1 Sc 0.000 0.000 0.000
Co1 Co 0.117 0.383 0.000
Os1 Os 0.179 0.679 0.500
```

version 2 is favored, and the nearest alternative lies 48 meV per atom above it.

Version 1
# ScCo2TcOs

A geometry-optimized ScCo2TcOs structure (PBE, Alexandria via LeMat-Bulk).

Cell and atoms, written as CIF:
```
data_ScCo2TcOs
_symmetry_space_group_name_H-M 'P 4/m m m'
_symmetry_Int_Tables_number 123
_symmetry_space_group_name_Hall '-P 4 2'
_cell_length_a 4.419
_cell_length_b 4.419
_cell_length_c 4.848
_cell_angle_alpha 90.00
_cell_angle_beta 90.00
_cell_angle_gamma 90.00
loop_
_atom_site_label
_atom_site_type_symbol
_atom_site_fract_x
_atom_site_fract_y
_atom_site_fract_z
Sc1 Sc 0.000 0.000 0.000
Co1 Co 0.000 0.500 0.500
Tc1 Tc 0.500 0.500 0.000
Os1 Os 0.000 0.000 0.500
```

Version 2
# ScCo2TcOs

A geometry-optimized ScCo2TcOs structure (PBE, Alexandria via LeMat-Bulk).

Cell and atoms, written as CIF:
```
data_ScCo2TcOs
_symmetry_space_group_name_H-M 'P 4/m m m'
_symmetry_Int_Tables_number 123
_symmetry_space_group_name_Hall '-P 4 2'
_cell_length_a 4.232
_cell_length_b 4.232
_cell_length_c 4.683
_cell_angle_alpha 90.00
_cell_angle_beta 90.00
_cell_angle_gamma 90.00
loop_
_atom_site_label
_atom_site_type_symbol
_atom_site_fract_x
_atom_site_fract_y
_atom_site_fract_z
Sc1 Sc 0.000 0.000 0.000
Co1 Co 0.000 0.500 0.000
Tc1 Tc 0.500 0.500 0.500
Os1 Os 0.000 0.000 0.500
```

version 1 is favored, and the nearest alternative lies 395 meV per atom above it.